CsSbTe2Br | PBE-GGA | optimized geometry

a b c (Å): 6.0416 6.0416 5.6555
angles (deg): 90.00 90.00 90.00
With the nearest neighbours (Å) after each atom.
Space group P4/mmm (No. 123)
Inequivalent atoms, fractional coordinates:
Cs 0.0000 0.0000 0.0000 x1  8 Te 4.14, 4 Sb 4.27
Sb 0.5000 0.5000 0.0000 x1  2 Br 2.83
Te 0.0000 0.5000 0.5000 x2  2 Br 3.02
Br 0.5000 0.5000 0.5000 x1  2 Sb 2.83, 4 Te 3.02

Results
As for the uncorrected formation energy: 1.074 eV/f.u. The value obtained for the mass density is 4.74 Mg/m³. For the calculated total energy, the calculation gives -2.37 eV/atom.